# Li2AgPd6 (PBE, optimized geometry)
# E_form: -0.0940 eV/atom
# space-group type: C2/m
# ΔE to the lowest computed polymorph: 67 meV/atom
# total DFT energy (no corrections): -0.3159 Ry per atom
data_Li2AgPd6
_chemical_formula_sum 'Li2 Ag1 Pd6'
_cell_length_a 4.9422
_cell_length_b 4.9422
_cell_length_c 6.8048
_cell_angle_alpha 112.14
_cell_angle_beta 112.14
_cell_angle_gamma 68.15
_space_group_name_H-M_alt 'P 1'
_space_group_IT_number 1
loop_
_space_group_symop_operation_xyz
'x,y,z'
loop_
_atom_site_label
_atom_site_fract_x
_atom_site_fract_y
_atom_site_fract_z
Li1 0.1478 0.1478 0.1094
Li2 0.8522 0.8522 0.8906
Ag1 0.5000 0.5000 0.0000
Pd1 0.1504 0.6744 0.2726
Pd2 0.2664 0.2664 0.5273
Pd3 0.3256 0.8496 0.7274
Pd4 0.6744 0.1504 0.2726
Pd5 0.7336 0.7336 0.4727
Pd6 0.8496 0.3256 0.7274